1.
Below is HfTl2AsRu after structural relaxation, with properties calculated at the PBE level.

- V: 31.46 Å³ per atom
- Energy of formation from the pure elements: 1173 meV per atom

a = 5.598 Å, b = 5.598 Å, c = 5.019 Å
α = 90.00°, β = 90.00°, γ = 90.00°
Space group P4/mmm (No. 123)
One atom of each set of equivalent atoms:
Hf 0.000 0.000 0.000 x1
Tl 0.000 0.500 0.000 x2
As 0.000 0.000 0.500 x1
Ru 0.500 0.500 0.500 x1



2.
Below is LaRu2 after structural relaxation, with properties calculated at the PBE level.

- V: 21.18 Å³ per atom
- Energy of formation from the pure elements: 96 meV per atom

a = 5.119 Å, b = 5.119 Å, c = 9.698 Å
α = 90.00°, β = 90.00°, γ = 90.00°
Space group I4/mcm (No. 140)
One atom of each set of equivalent atoms:
La 0.000 0.000 0.250 x4
Ru 0.176 0.324 0.000 x8



3.
Below is TbNd2Tm3Te6 after structural relaxation, with properties calculated at the PBE level.

- Formation energy from raw total energies: -1.28 eV/atom
- V: 29.72 Å³ per atom

a = 19.268 Å, b = 4.320 Å, c = 8.885 Å
α = 90.00°, β = 105.34°, γ = 90.00°
Space group C2/m (No. 12)
One atom of each set of equivalent atoms:
Tb 0.000 0.000 0.000 x2
Nd 0.169 0.500 0.337 x4
Tm 0.000 0.000 0.500 x2
Tm 0.171 0.500 0.836 x4
Te 0.005 0.500 0.748 x4
Te 0.162 0.000 0.593 x4
Te 0.166 0.000 0.073 x4



4.
Below is SmGePtRh after structural relaxation, with properties calculated at the PBE level.

- V: 21.36 Å³ per atom
- Energy of formation from the pure elements: -704 meV per atom

a = 4.001 Å, b = 4.116 Å, c = 10.374 Å
α = 90.00°, β = 90.00°, γ = 90.00°
Space group Imm2 (No. 44)
One atom of each set of equivalent atoms:
Sm 0.000 0.000 0.000 x2
Ge 0.000 0.500 0.249 x2
Pt 0.000 0.000 0.372 x2
Rh 0.000 0.000 0.626 x2



5.
Below is Tm3ScBi2 after structural relaxation, with properties calculated at the PBE level.

- V: 27.79 Å³ per atom
- Polymorph energy (0 for the lowest one): 0 meV per atom
- Energy of formation from the pure elements: -555 meV per atom

a = 4.461 Å, b = 4.461 Å, c = 8.375 Å
α = 90.00°, β = 90.00°, γ = 90.00°
Space group P-4m2 (No. 115)
One atom of each set of equivalent atoms:
Tm 0.000 0.000 0.000 x1
Tm 0.000 0.500 0.659 x2
Sc 0.500 0.500 0.000 x1
Bi 0.000 0.500 0.282 x2



6.
Below is LaAl4ZnAg2 after structural relaxation, with properties calculated at the PBE level.

- V: 19.72 Å³ per atom
- Energy of formation from the pure elements: -168 meV per atom

a = 4.4840 Å, b = 4.4840 Å, c = 27.1785 Å
α = 90.00°, β = 90.00°, γ = 120.00°
Space group R-3m (No. 166, hexagonal axes)
One atom of each set of equivalent atoms:
La 0.0000 0.0000 0.0000 x3
Al 0.0000 0.0000 0.1286 x6
Al 0.0000 0.0000 0.4028 x6
Zn 0.0000 0.0000 0.5000 x3
Ag 0.0000 0.0000 0.2389 x6